Run 1
VASP calculation (PBE) on an optimized crystal structure of NaIn2NiAg.

Results
Density of states at the Fermi level = 1.96 states/eV/f.u.
Crystal system = tetragonal

a b c (Å): 4.8961 4.8961 5.1377
angles (deg): 90.00 90.00 90.00
Closest atoms and distances in Å follow each position.
Space group P4/mmm (No. 123)
Symmetry-distinct sites (fractional):
Na: 0.0000 0.0000 0.0000 [1 per cell]  4 Ag 3.46, 8 In 3.55
In: 0.0000 0.5000 0.5000 [2 per cell]  2 Ni 2.45
Ni: 0.5000 0.5000 0.5000 [1 per cell]  4 In 2.45, 2 Ag 2.57
Ag: 0.5000 0.5000 0.0000 [1 per cell]  2 Ni 2.57

Run 2
VASP calculation (PBE) on an optimized crystal structure of NaIn2NiAg.

Results
Density of states at the Fermi level = 4.72 states/eV/f.u.
Crystal system = tetragonal

a b c (Å): 5.2235 5.2235 5.2185
angles (deg): 90.00 90.00 90.00
Closest atoms and distances in Å follow each position.
Space group P4/mmm (No. 123)
Symmetry-distinct sites (fractional):
Na: 0.0000 0.0000 0.0000 [1 per cell]  2 Ag 2.61
In: 0.0000 0.5000 0.5000 [2 per cell]  2 Ag 2.61
Ni: 0.5000 0.5000 0.0000 [1 per cell]  8 In 3.69, 4 Na 3.69
Ag: 0.0000 0.0000 0.5000 [1 per cell]  2 Na 2.61, 4 In 2.61

Of them, run 1 has the highest stability.

Run 1
VASP calculation (PBE) on an optimized crystal structure of RbNa2InAg.

Results
Density of states at the Fermi level = 3.45 states/eV/f.u.
Crystal system = tetragonal

a b c (Å): 5.8627 5.8627 5.3720
angles (deg): 90.00 90.00 90.00
Closest atoms and distances in Å follow each position.
Space group P4/mmm (No. 123)
Symmetry-distinct sites (fractional):
Rb: 0.0000 0.0000 0.0000 [1 per cell]  8 Na 3.98, 4 In 4.15
Na: 0.0000 0.5000 0.5000 [2 per cell]  2 Ag 2.93
In: 0.5000 0.5000 0.0000 [1 per cell]  2 Ag 2.69
Ag: 0.5000 0.5000 0.5000 [1 per cell]  2 In 2.69, 4 Na 2.93

Run 2
VASP calculation (PBE) on an optimized crystal structure of RbNa2InAg.

Results
Density of states at the Fermi level = 2.41 states/eV/f.u.
Crystal system = tetragonal

a b c (Å): 6.0499 6.0499 5.3832
angles (deg): 90.00 90.00 90.00
Closest atoms and distances in Å follow each position.
Space group P4/mmm (No. 123)
Symmetry-distinct sites (fractional):
Rb: 0.0000 0.0000 0.0000 [1 per cell]  8 Na 4.05, 4 Ag 4.28
Na: 0.0000 0.5000 0.5000 [2 per cell]  2 In 3.02
In: 0.5000 0.5000 0.5000 [1 per cell]  2 Ag 2.69
Ag: 0.5000 0.5000 0.0000 [1 per cell]  2 In 2.69

Of them, run 1 has the highest stability.

Run 1
VASP calculation (PBE) on an optimized crystal structure of NaInAgSn.

Results
Density of states at the Fermi level = 1.95 states/eV/f.u.
Crystal system = cubic

a b c (Å): 7.1906 7.1906 7.1906
angles (deg): 90.00 90.00 90.00
Closest atoms and distances in Å follow each position.
Space group F-43m (No. 216)
Symmetry-distinct sites (fractional):
Na: 0.0000 0.0000 0.0000 [4 per cell]  4 Sn 3.11, 4 In 3.11
In: 0.2500 0.2500 0.7500 [4 per cell]  4 Na 3.11, 4 Ag 3.11
Ag: 0.0000 0.0000 0.5000 [4 per cell]  4 In 3.11, 4 Sn 3.11
Sn: 0.2500 0.2500 0.2500 [4 per cell]  4 Na 3.11, 4 Ag 3.11

Run 2
VASP calculation (PBE) on an optimized crystal structure of NaInAgSn.

Results
Density of states at the Fermi level = 1.55 states/eV/f.u.
Crystal system = monoclinic

a b c (Å): 9.7631 3.4939 7.3631
angles (deg): 90.00 127.60 90.00
Closest atoms and distances in Å follow each position.
Space group Cm (No. 8)
Symmetry-distinct sites (fractional):
Na: 0.0000 0.0000 0.0000 [2 per cell]  3 Ag 2.98-3.09, 3 In 3.02-3.26, 3 Sn 3.20-3.21
In: 0.3878 0.0000 0.2635 [2 per cell]  3 Ag 3.00-3.35, 3 Na 3.02-3.26, 3 Sn 3.21-3.23
Ag: 0.1230 0.5000 0.7785 [2 per cell]  3 Na 2.98-3.09, 1 In 3.00, 3 Sn 3.03-3.08
Sn: 0.2386 0.0000 0.5494 [2 per cell]  3 Ag 3.03-3.08, 3 Na 3.20-3.21, 3 In 3.21-3.23

Of them, run 1 has the highest stability.

Run 1
VASP calculation (PBE) on an optimized crystal structure of Nb2In2Ag.

Results
Density of states at the Fermi level = 5.83 states/eV/f.u.
Crystal system = tetragonal

a b c (Å): 8.4159 8.4159 3.0338
angles (deg): 90.00 90.00 90.00
Closest atoms and distances in Å follow each position.
Space group P4/mbm (No. 127)
Symmetry-distinct sites (fractional):
Nb: 0.1114 0.3886 0.0000 [4 per cell]  1 Nb 2.65, 2 In 2.87
In: 0.1838 0.6838 0.5000 [4 per cell]  6 Nb 2.87-2.97, 2 In 3.03, 2 Ag 3.08
Ag: 0.0000 0.0000 0.5000 [2 per cell]  2 Ag 3.03, 4 In 3.08

Run 2
VASP calculation (PBE) on an optimized crystal structure of Nb2In2Ag.

Results
Density of states at the Fermi level = 4.89 states/eV/f.u.
Crystal system = tetragonal

a b c (Å): 7.6961 7.6961 3.6337
angles (deg): 90.00 90.00 90.00
Closest atoms and distances in Å follow each position.
Space group P4/mbm (No. 127)
Symmetry-distinct sites (fractional):
Nb: 0.1135 0.3865 0.0000 [4 per cell]  1 Nb 2.47
In: 0.1857 0.6857 0.5000 [4 per cell]  6 Nb 2.84-2.98
Ag: 0.0000 0.0000 0.0000 [2 per cell]  4 Nb 3.10, 8 In 3.35

Of them, run 1 has the highest stability.

Run 1
VASP calculation (PBE) on an optimized crystal structure of Nd2In3Ag.

Results
Density of states at the Fermi level = 4.33 states/eV/f.u.
Crystal system = orthorhombic

a b c (Å): 7.5166 9.8608 17.1249
angles (deg): 90.00 90.00 90.00
Closest atoms and distances in Å follow each position.
Space group Fmmm (No. 69)
Symmetry-distinct sites (fractional):
Nd: 0.2448 0.0000 0.0000 [8 per cell]  10 In 3.38-3.47, 2 Ag 3.41, 1 Nd 3.68
Nd: 0.2500 0.2500 0.2500 [8 per cell]  8 In 3.39-3.40, 4 Ag 3.41, 2 Nd 3.76
In: 0.0000 0.0000 0.3310 [8 per cell]  1 Ag 2.80, 2 In 2.89
In: 0.0000 0.2462 0.0850 [16 per cell]  1 Ag 2.81, 2 In 2.89-2.91
Ag: 0.0000 0.0000 0.1677 [8 per cell]  3 In 2.80-2.81

Run 2
VASP calculation (PBE) on an optimized crystal structure of Nd2In3Ag.

Results
Density of states at the Fermi level = 4.06 states/eV/f.u.
Crystal system = orthorhombic

a b c (Å): 3.7470 4.9413 8.5584
angles (deg): 90.00 90.00 90.00
Closest atoms and distances in Å follow each position.
Space group Pmm2 (No. 25)
Symmetry-distinct sites (fractional):
Nd: 0.0000 0.0000 0.0000 [1 per cell]  2 Ag 3.37, 10 In 3.41-3.50, 2 Nd 3.75
Nd: 0.0000 0.5000 0.4964 [1 per cell]  8 In 3.34-3.45, 4 Ag 3.42
In: 0.5000 0.0000 0.6543 [1 per cell]  1 Ag 2.80, 2 In 2.91
In: 0.5000 0.5000 0.1732 [1 per cell]  2 Ag 2.80, 1 In 2.90
In: 0.5000 0.5000 0.8344 [1 per cell]  3 In 2.90-2.91
Ag: 0.5000 0.0000 0.3267 [1 per cell]  3 In 2.80

Of them, run 2 has the highest stability.

Run 1
VASP calculation (PBE) on an optimized crystal structure of Nd4InAg.

Results
Density of states at the Fermi level = 7.27 states/eV/f.u.
Crystal system = orthorhombic

a b c (Å): 5.6541 21.3842 6.6393
angles (deg): 90.00 90.00 90.00
Closest atoms and distances in Å follow each position.
Space group Cmc2_1 (No. 36)
Symmetry-distinct sites (fractional):
Nd: 0.0000 0.0600 0.0000 [4 per cell]  2 Ag 2.99-3.27
Nd: 0.0000 0.2044 0.2655 [4 per cell]  1 Ag 3.12, 4 Nd 3.19-3.47, 2 In 3.44
Nd: 0.0000 0.2159 0.7862 [4 per cell]  4 Nd 3.19-3.47, 3 In 3.33-3.53, 1 Ag 3.43
Nd: 0.0000 0.3803 0.0374 [4 per cell]  2 Ag 2.96
In: 0.0000 0.3490 0.5261 [4 per cell]  10 Nd 3.31-3.54
Ag: 0.0000 0.0800 0.5115 [4 per cell]  5 Nd 2.96-3.27

Run 2
VASP calculation (PBE) on an optimized crystal structure of Nd4InAg.

Results
Density of states at the Fermi level = 6.03 states/eV/f.u.
Crystal system = tetragonal

a b c (Å): 3.7627 3.7627 13.0430
angles (deg): 90.00 90.00 90.00
Closest atoms and distances in Å follow each position.
Space group P4/mmm (No. 123)
Symmetry-distinct sites (fractional):
Nd: 0.0000 0.0000 0.1444 [2 per cell]  4 Ag 3.26
Nd: 0.5000 0.5000 0.3424 [2 per cell]  4 In 3.36, 8 Nd 3.71-3.76
In: 0.0000 0.0000 0.5000 [1 per cell]  8 Nd 3.36, 4 In 3.76
Ag: 0.5000 0.5000 0.0000 [1 per cell]  8 Nd 3.26

Of them, run 2 has the highest stability.

Run 1
VASP calculation (PBE) on an optimized crystal structure of Nd3In4Ag4.

Results
Density of states at the Fermi level = 8.03 states/eV/f.u.
Crystal system = orthorhombic

a b c (Å): 4.6395 7.4895 15.7602
angles (deg): 90.00 90.00 90.00
Closest atoms and distances in Å follow each position.
Space group Immm (No. 71)
Symmetry-distinct sites (fractional):
Nd: 0.0000 0.0000 0.0000 [2 per cell]  6 Ag 3.28-3.39
Nd: 0.0000 0.5000 0.1262 [4 per cell]  6 In 3.30-3.56, 6 Ag 3.37-3.41
In: 0.0000 0.2994 0.3308 [8 per cell]  4 Ag 2.79-2.89, 1 In 3.00
Ag: 0.0000 0.0000 0.2148 [4 per cell]  6 In 2.86-2.89
Ag: 0.0000 0.1895 0.5000 [4 per cell]  2 In 2.79, 1 Ag 2.84

Run 2
VASP calculation (PBE) on an optimized crystal structure of Nd3In4Ag4.

Results
Density of states at the Fermi level = 7.19 states/eV/f.u.
Crystal system = triclinic

a b c (Å): 3.6479 4.9174 15.5075
angles (deg): 80.97 83.26 89.99
Closest atoms and distances in Å follow each position.
Space group P-1 (No. 2)
Symmetry-distinct sites (fractional):
Nd: 0.0000 0.0000 0.0000 [1 per cell]  8 Ag 3.37, 4 In 3.38, 2 Nd 3.65
Nd: 0.1410 0.6406 0.7186 [2 per cell]  6 Ag 3.35-3.40, 6 In 3.38-3.43, 2 Nd 3.65
In: 0.2635 0.2638 0.4726 [2 per cell]  4 Ag 2.90-2.99, 4 In 3.17
In: 0.4065 0.9070 0.1869 [2 per cell]  3 Ag 2.81-2.84
Ag: 0.3138 0.8143 0.3716 [2 per cell]  5 In 2.81-2.99
Ag: 0.4540 0.4536 0.0930 [2 per cell]  1 Ag 2.83, 2 In 2.84

Of them, run 2 has the highest stability.

Run 1
VASP calculation (PBE) on an optimized crystal structure of Nd6InAg.

Results
Density of states at the Fermi level = 8.31 states/eV/f.u.
Crystal system = triclinic

a b c (Å): 6.3038 6.3071 6.3082
angles (deg): 93.37 93.45 93.49
Closest atoms and distances in Å follow each position.
Space group P-1 (No. 2)
Symmetry-distinct sites (fractional):
Nd: 0.0260 0.2527 0.0509 [2 per cell]  1 Ag 3.17, 2 Nd 3.21-3.25, 1 In 3.49
Nd: 0.2476 0.9491 0.4721 [2 per cell]  1 Ag 3.17, 2 Nd 3.20-3.26, 1 In 3.48
Nd: 0.4495 0.4734 0.7469 [2 per cell]  1 Ag 3.17, 2 Nd 3.21-3.25, 1 In 3.49
In: 0.5000 0.0000 0.0000 [1 per cell]  12 Nd 3.48-3.59
Ag: 0.0000 0.5000 0.5000 [1 per cell]  6 Nd 3.17

Run 2
VASP calculation (PBE) on an optimized crystal structure of Nd6InAg.

Results
Density of states at the Fermi level = 9.99 states/eV/f.u.
Crystal system = tetragonal

a b c (Å): 5.2480 5.2480 18.4121
angles (deg): 90.00 90.00 90.00
Closest atoms and distances in Å follow each position.
Space group I4/mmm (No. 139)
Symmetry-distinct sites (fractional):
Nd: 0.0000 0.0000 0.2491 [4 per cell]  12 Nd 3.67-3.71
Nd: 0.0000 0.5000 0.1100 [8 per cell]  2 In 3.31, 2 Ag 3.31, 8 Nd 3.67-3.71
In: 0.0000 0.0000 0.0000 [2 per cell]  8 Nd 3.31, 4 Ag 3.71
Ag: 0.0000 0.0000 0.5000 [2 per cell]  8 Nd 3.31, 4 In 3.71

Of them, run 2 has the highest stability.

Run 1
VASP calculation (PBE) on an optimized crystal structure of Nd8InAg2.

Results
Density of states at the Fermi level = 11.19 states/eV/f.u.
Crystal system = monoclinic

a b c (Å): 16.6883 5.4340 8.6473
angles (deg): 90.00 119.76 90.00
Closest atoms and distances in Å follow each position.
Space group C2/m (No. 12)
Symmetry-distinct sites (fractional):
Nd: 0.0690 0.0000 0.2248 [4 per cell]  1 Ag 3.15, 3 Nd 3.37-3.40
Nd: 0.0977 0.5000 0.9552 [4 per cell]  3 Ag 3.30-3.34, 1 In 3.43, 2 Nd 3.64
Nd: 0.1422 0.0000 0.7016 [4 per cell]  3 Ag 3.15-3.37, 2 In 3.46
Nd: 0.1845 0.5000 0.4618 [4 per cell]  1 Ag 3.17, 1 In 3.26, 4 Nd 3.34-3.37
In: 0.0000 0.5000 0.5000 [2 per cell]  8 Nd 3.26-3.46
Ag: 0.2239 0.0000 0.1180 [4 per cell]  8 Nd 3.15-3.37

Run 2
VASP calculation (PBE) on an optimized crystal structure of Nd8InAg2.

Results
Density of states at the Fermi level = 16.19 states/eV/f.u.
Crystal system = monoclinic

a b c (Å): 8.9807 14.6526 5.5896
angles (deg): 90.00 108.93 90.00
Closest atoms and distances in Å follow each position.
Space group C2/m (No. 12)
Symmetry-distinct sites (fractional):
Nd: 0.0000 0.2314 0.0000 [4 per cell]  2 Ag 3.02
Nd: 0.1034 0.5000 0.8059 [4 per cell]  2 Ag 3.26, 2 Nd 3.28-3.32, 1 In 3.37
Nd: 0.1988 0.1137 0.5913 [8 per cell]  2 Ag 3.12-3.32, 2 Nd 3.33-3.38
In: 0.0000 0.0000 0.0000 [2 per cell]  12 Nd 3.37-3.72
Ag: 0.0000 0.3089 0.5000 [4 per cell]  8 Nd 3.02-3.32

Of them, run 1 has the highest stability.

Run 1
VASP calculation (PBE) on an optimized crystal structure of Nd3In3Ag2.

Results
Density of states at the Fermi level = 5.91 states/eV/f.u.
Crystal system = monoclinic

a b c (Å): 18.3852 4.6933 5.0076
angles (deg): 90.00 105.73 90.00
Closest atoms and distances in Å follow each position.
Space group C2/m (No. 12)
Symmetry-distinct sites (fractional):
Nd: 0.0000 0.0000 0.0000 [2 per cell]  8 In 3.43-3.45, 4 Nd 3.54
Nd: 0.1414 0.0000 0.6412 [4 per cell]  4 Ag 3.09-3.10, 6 In 3.43
In: 0.0000 0.5000 0.5000 [2 per cell]  8 Nd 3.43, 4 In 3.56-3.57
In: 0.1432 0.5000 0.1435 [4 per cell]  4 Ag 2.95-3.21
Ag: 0.2438 0.0000 0.2430 [4 per cell]  4 In 2.95-3.21, 4 Nd 3.09-3.10

Run 2
VASP calculation (PBE) on an optimized crystal structure of Nd3In3Ag2.

Results
Density of states at the Fermi level = 6.74 states/eV/f.u.
Crystal system = orthorhombic

a b c (Å): 4.7905 11.2654 15.9690
angles (deg): 90.00 90.00 90.00
Closest atoms and distances in Å follow each position.
Space group Cmcm (No. 63)
Symmetry-distinct sites (fractional):
Nd: 0.0000 0.0923 0.1081 [8 per cell]  4 Ag 3.29-3.61, 7 In 3.35-3.50
Nd: 0.0000 0.3554 0.2500 [4 per cell]  5 In 3.25-3.38, 4 Ag 3.43
In: 0.0000 0.3563 0.7500 [4 per cell]  2 Ag 2.89
In: 0.0000 0.3859 0.0413 [8 per cell]  3 Ag 2.79-3.06, 1 In 2.89
Ag: 0.0000 0.2074 0.6028 [8 per cell]  4 In 2.79-3.06

Of them, run 2 has the highest stability.

Run 1
VASP calculation (PBE) on an optimized crystal structure of InNi2Ag2.

Results
Density of states at the Fermi level = 2.99 states/eV/f.u.
Crystal system = tetragonal

a b c (Å): 7.4225 7.4225 2.9656
angles (deg): 90.00 90.00 90.00
Closest atoms and distances in Å follow each position.
Space group P4/mbm (No. 127)
Symmetry-distinct sites (fractional):
In: 0.0000 0.0000 0.0000 [2 per cell]  4 Ag 2.90, 2 In 2.97, 8 Ni 3.14
Ni: 0.1654 0.3346 0.5000 [4 per cell]  6 Ag 2.59-2.67
Ag: 0.1318 0.6318 0.0000 [4 per cell]  6 Ni 2.59-2.67, 1 Ag 2.77, 2 In 2.90

Run 2
VASP calculation (PBE) on an optimized crystal structure of InNi2Ag2.

Results
Density of states at the Fermi level = 2.77 states/eV/f.u.
Crystal system = tetragonal

a b c (Å): 3.7859 3.7859 12.0121
angles (deg): 90.00 90.00 90.00
Closest atoms and distances in Å follow each position.
Space group I4/mmm (No. 139)
Symmetry-distinct sites (fractional):
In: 0.0000 0.0000 0.0000 [2 per cell]  8 Ni 2.91
Ni: 0.0000 0.0000 0.4052 [4 per cell]  1 Ni 2.28
Ag: 0.0000 0.5000 0.2500 [4 per cell]  4 Ni 2.66, 4 Ag 2.68

Run 3
VASP calculation (PBE) on an optimized crystal structure of InNi2Ag2.

Results
Density of states at the Fermi level = 2.43 states/eV/f.u.
Crystal system = tetragonal

a b c (Å): 6.4707 6.4707 3.9326
angles (deg): 90.00 90.00 90.00
Closest atoms and distances in Å follow each position.
Space group P4/mbm (No. 127)
Symmetry-distinct sites (fractional):
In: 0.0000 0.0000 0.0000 [2 per cell]  4 Ni 2.55
Ni: 0.1271 0.3729 0.0000 [4 per cell]  1 Ni 2.33, 2 In 2.55
Ag: 0.1654 0.6654 0.5000 [4 per cell]  6 Ni 2.73-2.74, 1 Ag 3.03

Run 4
VASP calculation (PBE) on an optimized crystal structure of InNi2Ag2.

Results
Density of states at the Fermi level = 6.53 states/eV/f.u.
Crystal system = tetragonal

a b c (Å): 3.2958 3.2958 16.2071
angles (deg): 90.00 90.00 90.00
Closest atoms and distances in Å follow each position.
Space group I4/mmm (No. 139)
Symmetry-distinct sites (fractional):
In: 0.0000 0.0000 0.0000 [2 per cell]  8 Ag 3.01, 4 In 3.30
Ni: 0.0000 0.5000 0.2500 [4 per cell]  4 Ni 2.33
Ag: 0.0000 0.0000 0.3827 [4 per cell]  4 Ni 2.71, 4 In 3.01

Of them, run 3 has the highest stability.